# 1
{"formula": "Pm4Pr6Sm", "functional": "PBE", "state": "relaxed", "cell": [[-5.009, -1.668, -4.352], [4.520, -3.298, -3.938], [-1.178, -4.717, 8.542]], "species": ["Pr", "Pr", "Pr", "Pr", "Pr", "Pr", "Pm", "Pm", "Pm", "Pm", "Sm"], "frac_coords": [[0.488, 0.868, 0.355], [0.512, 0.512, 0.645], [0.000, 0.500, 0.000], [0.132, 0.132, 0.645], [0.500, 0.000, 0.000], [0.868, 0.488, 0.355], [0.297, 0.297, 0.243], [0.054, 0.703, 0.757], [0.946, 0.946, 0.243], [0.703, 0.054, 0.757], [0.500, 0.500, 0.000]], "sg": "No. 121", "delta_e_f_ev_per_atom": 0.279, "de_polymorph_kcal_per_mol_atoms": 0.08, "total_magnetization_mub_per_atom": 0.00}

# 2
{"formula": "Pm5Pr5Sm", "functional": "PBE", "state": "relaxed", "cell": [[6.289, 0.000, 0.000], [-3.144, 5.446, 0.000], [0.000, 0.000, 11.669]], "species": ["Pm", "Pm", "Pm", "Pm", "Pm", "Pr", "Pr", "Pr", "Pr", "Pr", "Sm"], "frac_coords": [[0.000, 0.000, 0.000], [0.667, 0.333, 0.160], [0.333, 0.667, 0.678], [0.333, 0.667, 0.322], [0.667, 0.333, 0.840], [0.341, 0.170, 0.500], [0.830, 0.659, 0.500], [0.000, 0.000, 0.736], [0.830, 0.170, 0.500], [0.000, 0.000, 0.264], [0.333, 0.667, 0.000]], "sg": "No. 187", "delta_e_f_ev_per_atom": 0.300, "de_polymorph_kcal_per_mol_atoms": 0.00, "total_magnetization_mub_per_atom": 0.00}

# 3
{"formula": "Pm4Pr8Sm", "functional": "PBE", "state": "relaxed", "cell": [[-10.494, -5.620, -1.187], [6.854, -2.088, 9.581], [2.921, 7.381, -0.481]], "species": ["Pr", "Pr", "Pr", "Pr", "Pr", "Pr", "Pr", "Pr", "Pm", "Pm", "Pm", "Pm", "Sm"], "frac_coords": [[0.514, 0.757, 0.271], [0.667, 0.833, 0.997], [0.836, 0.669, 0.003], [0.836, 0.167, 0.003], [0.486, 0.243, 0.729], [0.164, 0.331, 0.997], [0.333, 0.167, 0.003], [0.164, 0.833, 0.997], [0.500, 0.500, 0.000], [0.000, 0.500, 0.000], [0.500, 0.000, 0.000], [0.000, 0.000, 0.000], [0.000, 0.500, 0.500]], "sg": "No. 166", "delta_e_f_ev_per_atom": 0.389, "total_magnetization_mub_per_atom": 0.00}

# 4
{"formula": "Pm3Pr2Sm7", "functional": "PBE", "state": "relaxed", "cell": [[-1.233, 1.304, -3.167], [-3.255, -4.932, -0.764], [-14.129, 9.182, 9.280]], "species": ["Sm", "Sm", "Sm", "Sm", "Sm", "Sm", "Sm", "Pm", "Pm", "Pm", "Pr", "Pr"], "frac_coords": [[0.500, 0.743, 0.463], [0.000, 0.684, 0.143], [0.000, 0.316, 0.857], [0.500, 0.186, 0.175], [0.500, 0.257, 0.537], [0.000, 0.000, 0.000], [0.500, 0.814, 0.825], [0.500, 0.500, 0.000], [0.000, 0.220, 0.368], [0.000, 0.780, 0.632], [0.500, 0.291, 0.706], [0.500, 0.709, 0.294]], "sg": "No. 10", "delta_e_f_ev_per_atom": 0.083, "de_polymorph_kcal_per_mol_atoms": 0.25, "total_magnetization_mub_per_atom": 0.00}

# 5
{"formula": "Pm4Pr3Sm2", "functional": "PBE", "state": "relaxed", "cell": [[3.664, 0.000, 0.000], [-1.832, 3.173, 0.000], [0.000, 0.000, 27.361]], "species": ["Pr", "Pr", "Pr", "Pm", "Pm", "Pm", "Pm", "Sm", "Sm"], "frac_coords": [[0.000, 0.000, 0.984], [0.667, 0.333, 0.653], [0.000, 0.000, 0.322], [0.667, 0.333, 0.215], [0.667, 0.333, 0.435], [0.000, 0.000, 0.765], [0.000, 0.000, 0.542], [0.667, 0.333, 0.871], [0.667, 0.333, 0.090]], "sg": "No. 156", "delta_e_f_ev_per_atom": 0.065, "de_polymorph_kcal_per_mol_atoms": 1.19, "total_magnetization_mub_per_atom": 0.00}

# 6
{"formula": "Pm8Pr6Sm", "functional": "PBE", "state": "relaxed", "cell": [[9.470, 0.000, 0.000], [4.735, 8.202, 0.000], [4.735, 2.734, 6.850]], "species": ["Pr", "Pr", "Pr", "Pr", "Pr", "Pr", "Sm", "Pm", "Pm", "Pm", "Pm", "Pm", "Pm", "Pm", "Pm"], "frac_coords": [[0.739, 0.445, 0.923], [0.445, 0.893, 0.923], [0.261, 0.555, 0.077], [0.107, 0.261, 0.077], [0.893, 0.739, 0.923], [0.555, 0.107, 0.077], [0.000, 0.000, 0.000], [0.085, 0.663, 0.483], [0.663, 0.769, 0.483], [0.429, 0.429, 0.714], [0.231, 0.915, 0.517], [0.769, 0.085, 0.483], [0.571, 0.571, 0.286], [0.337, 0.231, 0.517], [0.915, 0.337, 0.517]], "sg": "No. 148", "delta_e_f_ev_per_atom": 0.142, "de_polymorph_kcal_per_mol_atoms": 0.00, "total_magnetization_mub_per_atom": 0.00}

# 7
{"formula": "Pm12Pr5Sm", "functional": "PBE", "state": "relaxed", "cell": [[-4.270, -0.436, -10.825], [-10.355, -1.071, -2.135], [-0.630, 6.067, 0.001]], "species": ["Pm", "Pm", "Pm", "Pm", "Pm", "Pm", "Pm", "Pm", "Pm", "Pm", "Pm", "Pm", "Pr", "Pr", "Pr", "Pr", "Pr", "Sm"], "frac_coords": [[0.823, 0.000, 0.446], [0.679, 0.000, 0.947], [0.511, 0.333, 0.550], [0.844, 0.667, 0.550], [0.321, 0.000, 0.053], [0.657, 0.332, 0.050], [0.177, 0.000, 0.554], [0.011, 0.332, 0.950], [0.156, 0.333, 0.450], [0.489, 0.667, 0.450], [0.989, 0.668, 0.050], [0.343, 0.668, 0.950], [0.166, 0.668, 0.500], [0.500, 0.000, 0.500], [0.667, 0.667, 0.000], [0.834, 0.332, 0.500], [0.333, 0.333, 0.000], [0.000, 0.000, 0.000]], "sg": "No. 12", "delta_e_f_ev_per_atom": 0.095, "total_magnetization_mub_per_atom": 0.00}

# 8
{"formula": "PmPr12Sm7", "functional": "PBE", "state": "relaxed", "cell": [[-2.766, 2.474, -5.154], [8.584, -6.118, -4.935], [-8.874, -6.072, 4.456]], "species": ["Pr", "Pr", "Pr", "Pr", "Pr", "Pr", "Pr", "Pr", "Pr", "Pr", "Pr", "Pr", "Pm", "Sm", "Sm", "Sm", "Sm", "Sm", "Sm", "Sm"], "frac_coords": [[0.579, 0.999, 0.645], [0.580, 0.645, 0.001], [0.089, 0.178, 0.589], [0.499, 0.411, 0.588], [0.501, 0.589, 0.412], [0.421, 0.001, 0.355], [0.065, 0.645, 0.645], [0.420, 0.355, 0.999], [0.089, 0.588, 0.178], [0.935, 0.355, 0.355], [0.911, 0.412, 0.822], [0.911, 0.822, 0.411], [0.000, 0.000, 0.000], [0.124, 0.999, 0.751], [0.627, 0.751, 0.752], [0.876, 0.001, 0.249], [0.500, 0.000, 0.000], [0.373, 0.249, 0.248], [0.875, 0.248, 0.999], [0.125, 0.752, 0.001]], "sg": "No. 148", "delta_e_f_ev_per_atom": 0.222, "de_polymorph_kcal_per_mol_atoms": 1.92, "total_magnetization_mub_per_atom": 0.00}

| no. | raw total energy (eV for the cell shown) | Fermi-level density of states (states/eV/cell) |
| --- | --- | --- |
| 1 | -49.33 | 16.7 |
| 2 | -49.07 | 20.1 |
| 3 | -56.91 | 26.9 |
| 4 | -55.85 | 15.9 |
| 5 | -42.20 | 16.3 |
| 6 | -69.27 | 21.6 |
| 7 | -83.91 | 30.4 |
| 8 | -90.71 | 26.2 |